VASP calculation (GGA-PBE) on an optimized crystal structure of LiMgHg3.

Properties
* excess energy over the best structure of this formula in the dataset: 0.000 eV/atom
* energy of formation from the pure elements: -0.231 eV/atom

a b c (Å): 4.734 4.748 9.697
angles (deg): 75.88 89.97 90.00
Space group P-1 (No. 2)
Symmetry-distinct sites (fractional):
Li  0.250  0.151  0.195 x2
Mg  0.251  0.346  0.807 x2
Hg  0.249  0.555  0.380 x2
Hg  0.250  0.750  0.001 x2
Hg  0.251  0.943  0.618 x2

=====

VASP calculation (GGA-PBE) on an optimized crystal structure of LiMgHg2.

Properties
* energy of formation from the pure elements: 0.039 eV/atom

a b c (Å): 3.142 5.681 11.315
angles (deg): 90.00 90.00 90.00
Space group Immm (No. 71)
Symmetry-distinct sites (fractional):
Li  0.000  0.000  0.000 x2
Mg  0.000  0.000  0.500 x2
Hg  0.000  0.000  0.238 x4

=====

VASP calculation (GGA-PBE) on an optimized crystal structure of Li2Mg3Hg.

Properties
* energy of formation from the pure elements: -0.156 eV/atom

a b c (Å): 4.584 13.667 3.836
angles (deg): 90.00 90.00 90.00
Space group Pmmn (No. 59, origin choice 2)
Symmetry-distinct sites (fractional):
Li  0.250  0.089  0.002 x4
Mg  0.250  0.250  0.503 x2
Mg  0.250  0.582  0.497 x4
Hg  0.250  0.750  0.997 x2

=====

VASP calculation (GGA-PBE) on an optimized crystal structure of LiMg6Hg3.

Properties
* energy of formation from the pure elements: -0.180 eV/atom

a b c (Å): 8.322 5.009 10.746
angles (deg): 90.00 110.63 90.00
Space group P2_1/m (No. 11)
Symmetry-distinct sites (fractional):
Li  0.196  0.250  0.127 x2
Mg  0.007  0.750  0.159 x2
Mg  0.029  0.750  0.683 x2
Mg  0.203  0.750  0.470 x2
Mg  0.384  0.250  0.927 x2
Mg  0.386  0.250  0.427 x2
Mg  0.408  0.750  0.264 x2
Hg  0.183  0.250  0.621 x2
Hg  0.194  0.750  0.973 x2
Hg  0.434  0.750  0.775 x2

=====

VASP calculation (GGA-PBE) on an optimized crystal structure of LiMg6Hg12.

Properties
* excess energy over the best structure of this formula in the dataset: 0.010 eV/atom
* energy of formation from the pure elements: -0.134 eV/atom

a b c (Å): 13.2761 13.2761 8.4472
angles (deg): 90.00 90.00 120.00
Space group R-3 (No. 148, hexagonal axes)
Symmetry-distinct sites (fractional):
Li  0.0000  0.0000  0.0000 x3
Mg  0.0220  0.2668  0.3118 x18
Hg  0.0057  0.1410  0.6616 x18
Hg  0.0718  0.5699  0.6843 x18

=====

VASP calculation (GGA-PBE) on an optimized crystal structure of Li2MgHg4.

Properties
* excess energy over the best structure of this formula in the dataset: 0.000 eV/atom
* energy of formation from the pure elements: -0.257 eV/atom

a b c (Å): 6.686 6.686 6.811
angles (deg): 90.00 90.00 90.00
Space group I4/mmm (No. 139)
Symmetry-distinct sites (fractional):
Li  0.000  0.500  0.000 x4
Mg  0.000  0.000  0.000 x2
Hg  0.250  0.250  0.250 x8

=====

VASP calculation (GGA-PBE) on an optimized crystal structure of Li2Mg5Hg4.

Properties
* energy of formation from the pure elements: -0.182 eV/atom

a b c (Å): 19.355 3.823 6.663
angles (deg): 90.00 100.34 90.00
Space group C2/m (No. 12)
Symmetry-distinct sites (fractional):
Li  0.073  0.000  0.122 x4
Mg  0.000  0.000  0.500 x2
Mg  0.129  0.500  0.486 x4
Mg  0.182  0.500  0.979 x4
Hg  0.036  0.500  0.811 x4
Hg  0.220  0.000  0.311 x4

=====

VASP calculation (GGA-PBE) on an optimized crystal structure of Li2Mg2Hg.

Properties
* excess energy over the best structure of this formula in the dataset: 0.102 eV/atom
* energy of formation from the pure elements: -0.106 eV/atom

a b c (Å): 6.901 4.664 7.108
angles (deg): 90.00 104.46 90.00
Space group P2_1/m (No. 11)
Symmetry-distinct sites (fractional):
Li  0.078  0.250  0.449 x2
Li  0.348  0.750  0.952 x2
Mg  0.012  0.250  0.849 x2
Mg  0.356  0.750  0.477 x2
Hg  0.307  0.250  0.195 x2

=====

VASP calculation (GGA-PBE) on an optimized crystal structure of Li2MgHg3.

Properties
* energy of formation from the pure elements: -0.336 eV/atom

a b c (Å): 3.334 3.334 10.396
angles (deg): 90.00 90.00 90.00
Space group P4/mmm (No. 123)
Symmetry-distinct sites (fractional):
Li  0.000  0.000  0.160 x2
Mg  0.000  0.000  0.500 x1
Hg  0.500  0.500  0.000 x1
Hg  0.500  0.500  0.317 x2

=====

VASP calculation (GGA-PBE) on an optimized crystal structure of Li9Mg4Hg.

Properties
* energy of formation from the pure elements: -0.037 eV/atom

a b c (Å): 8.8064 8.8064 9.3402
angles (deg): 90.00 90.00 120.00
Space group P6_3/mmc (No. 194)
Symmetry-distinct sites (fractional):
Li  0.0706  0.5353  0.2500 x6
Li  0.2023  0.4047  0.5482 x12
Mg  0.0000  0.0000  0.0000 x2
Mg  0.1178  0.2355  0.2500 x6
Hg  0.3333  0.6667  0.7500 x2

=====

- energy of formation from the pure elements of number 5 (LiMg6Hg12)?
  -0.134 eV/atom

=====

- energy of formation from the pure elements of number 5 (LiMg6Hg12)?
  -0.134 eV/atom

=====

- energy of formation from the pure elements of number 2 (LiMgHg2)?
  0.039 eV/atom